Record 1
Here is crystalline La6YSc at its relaxed geometry from Alexandria. Energies are from PBE.

abc: 5.159 5.159 10.318
angles: 90.00 90.00 90.00
Space group P4/mmm (No. 123)
Symmetry-distinct sites (fractional):
La1 0.000 0.000 0.000 (multiplicity 1)
La2 0.000 0.000 0.500 (multiplicity 1)
La3 0.000 0.500 0.245 (multiplicity 4)
Y1 0.500 0.500 0.500 (multiplicity 1)
Sc1 0.500 0.500 0.000 (multiplicity 1)

Properties
The calculation puts the density of states at the Fermi level at 9.1 states/eV/cell. The value obtained for the formation energy is 21 meV/atom. The calculation puts the total moment at 0.0 μB/f.u.

***

Record 2
Here is crystalline MnVHIr2 at its relaxed geometry from Alexandria. Energies are from PBE.

abc: 3.874 3.874 3.790
angles: 90.00 90.00 90.00
Space group P4/mmm (No. 123)
Symmetry-distinct sites (fractional):
Mn1 0.000 0.000 0.000 (multiplicity 1)
V1 0.500 0.500 0.000 (multiplicity 1)
H1 0.000 0.000 0.500 (multiplicity 1)
Ir1 0.000 0.500 0.500 (multiplicity 2)

Properties
The calculation puts the density of states at the Fermi level at 2.6 states/eV/cell. The calculation puts the total moment at 1.2 μB/f.u. The value obtained for the distance to the lowest polymorph of the same formula is 0 kJ/mol of formula units.

***

Record 3
Here is crystalline Pr8Ga3Br4Cl at its relaxed geometry from Alexandria. Energies are from PBE.

abc: 8.6212 8.6212 21.8994
angles: 90.00 90.00 120.00
Space group R-3m (No. 166, hexagonal axes)
Symmetry-distinct sites (fractional):
Pr1 0.0000 0.0000 0.2410 (multiplicity 6)
Pr2 0.0057 0.5028 0.7603 (multiplicity 18)
Ga1 0.0000 0.5000 0.5000 (multiplicity 9)
Br1 0.0000 0.0000 0.0000 (multiplicity 3)
Br2 0.0000 0.5000 0.0000 (multiplicity 9)
Cl1 0.0000 0.0000 0.5000 (multiplicity 3)

Properties
Its formation energy (no corrections) is -1022 meV/atom. The calculation puts the density of states at the Fermi level at 28.5 states/eV/cell. The calculation puts the total moment at 0.0 μB/f.u.

***

Record 4
Here is crystalline Ac5Pr2Ir5 at its relaxed geometry from Alexandria. Energies are from PBE.

abc: 14.105 4.232 12.636
angles: 90.00 106.07 90.00
Space group C2/m (No. 12)
Symmetry-distinct sites (fractional):
Ac1 0.000 0.000 0.000 (multiplicity 2)
Ac2 0.155 0.000 0.548 (multiplicity 4)
Ac3 0.239 0.000 0.857 (multiplicity 4)
Pr1 0.042 0.500 0.286 (multiplicity 4)
Ir1 0.000 0.500 0.500 (multiplicity 2)
Ir2 0.114 0.500 0.921 (multiplicity 4)
Ir3 0.191 0.000 0.309 (multiplicity 4)

Properties
The calculation puts the density of states at the Fermi level at 12.8 states/eV/cell. The value obtained for the formation energy is -588 meV/atom. The calculation puts the total moment at 0.0 μB/f.u.

***

Record 5
Here is crystalline LaHg2Au at its relaxed geometry from Alexandria. Energies are from PBE.

abc: 6.944 6.943 9.239
angles: 90.00 112.03 90.00
Space group C2/m (No. 12)
Symmetry-distinct sites (fractional):
La1 0.138 0.000 0.278 (multiplicity 4)
Hg1 0.136 0.500 0.271 (multiplicity 4)
Hg2 0.250 0.250 0.000 (multiplicity 4)
Au1 0.000 0.251 0.500 (multiplicity 4)

Properties
The calculation puts the density of states at the Fermi level at 13.9 states/eV/cell. The value obtained for the formation energy is -499 meV/atom. The calculation puts the total moment at 0.0 μB/f.u.

***

Record 6
Here is crystalline PmYCdSb at its relaxed geometry from Alexandria. Energies are from PBE.

abc: 7.593 7.593 7.593
angles: 90.00 90.00 90.00
Space group F-43m (No. 216)
Symmetry-distinct sites (fractional):
Pm1 0.000 0.000 0.000 (multiplicity 4)
Y1 0.000 0.000 0.500 (multiplicity 4)
Cd1 0.250 0.250 0.750 (multiplicity 4)
Sb1 0.250 0.250 0.250 (multiplicity 4)

Properties
Its formation energy (no corrections) is -558 meV/atom. The calculation puts the density of states at the Fermi level at 15.3 states/eV/cell. The calculation puts the total moment at 0.0 μB/f.u.

***

Record 7
Here is crystalline CeAlH5 at its relaxed geometry from Alexandria. Energies are from PBE.

abc: 7.652 4.700 7.667
angles: 90.00 115.78 90.00
Space group C2/c (No. 15)
Symmetry-distinct sites (fractional):
Ce1 0.000 0.249 0.250 (multiplicity 4)
Al1 0.250 0.250 0.000 (multiplicity 4)
H1 0.000 0.251 0.750 (multiplicity 4)
H2 0.162 0.022 0.587 (multiplicity 8)
H3 0.163 0.480 0.589 (multiplicity 8)

Properties
The calculation puts the density of states at the Fermi level at 18.1 states/eV/cell. The calculation puts the total moment at 0.7 μB/f.u.

***

Record 8
Here is crystalline Li3BeIr at its relaxed geometry from Alexandria. Energies are from PBE.

abc: 4.081 4.081 4.081
angles: 90.00 90.00 90.00
Space group Pm-3m (No. 221)
Symmetry-distinct sites (fractional):
Li1 0.000 0.000 0.500 (multiplicity 3)
Be1 0.000 0.000 0.000 (multiplicity 1)
Ir1 0.500 0.500 0.500 (multiplicity 1)

Properties
The calculation puts the density of states at the Fermi level at 2.6 states/eV/cell. The value obtained for the formation energy is 845 meV/atom. The calculation puts the total moment at 0.0 μB/f.u. The value obtained for the distance to the lowest polymorph of the same formula is 0 kJ/mol of formula units.

***

Record 9
Here is crystalline NdDyTlPb at its relaxed geometry from Alexandria. Energies are from PBE.

abc: 5.077 5.077 8.936
angles: 90.00 90.00 90.00
Space group I-4m2 (No. 119)
Symmetry-distinct sites (fractional):
Nd1 0.000 0.000 0.000 (multiplicity 2)
Dy1 0.000 0.000 0.500 (multiplicity 2)
Tl1 0.000 0.500 0.250 (multiplicity 2)
Pb1 0.000 0.500 0.750 (multiplicity 2)

Properties
The calculation puts the density of states at the Fermi level at 6.5 states/eV/cell. The value obtained for the formation energy is -424 meV/atom. The calculation puts the total moment at 0.0 μB/f.u. The value obtained for the distance to the lowest polymorph of the same formula is 0 kJ/mol of formula units.

***

Record 10
Here is crystalline Eu2HoAg at its relaxed geometry from Alexandria. Energies are from PBE.

abc: 3.760 3.760 9.075
angles: 90.00 90.00 90.00
Space group P4/mmm (No. 123)
Symmetry-distinct sites (fractional):
Eu1 0.000 0.000 0.211 (multiplicity 2)
Ho1 0.500 0.500 0.500 (multiplicity 1)
Ag1 0.500 0.500 0.000 (multiplicity 1)

Properties
The calculation puts the density of states at the Fermi level at 4.2 states/eV/cell. The value obtained for the formation energy is -61 meV/atom. The calculation puts the total moment at 15.2 μB/f.u. The value obtained for the distance to the lowest polymorph of the same formula is 0 kJ/mol of formula units.

***

Record 11
Here is crystalline Ta5Nb at its relaxed geometry from Alexandria. Energies are from PBE.

abc: 4.696 9.980 4.671
angles: 90.00 90.00 90.00
Space group Cmmm (No. 65)
Symmetry-distinct sites (fractional):
Ta1 0.000 0.000 0.000 (multiplicity 2)
Ta2 0.000 0.165 0.500 (multiplicity 4)
Ta3 0.000 0.333 0.000 (multiplicity 4)
Nb1 0.000 0.500 0.500 (multiplicity 2)

Properties
The calculation puts the density of states at the Fermi level at 19.1 states/eV/cell. The value obtained for the formation energy is -2 meV/atom. The calculation puts the total moment at 0.0 μB/f.u. The value obtained for the distance to the lowest polymorph of the same formula is 2 kJ/mol of formula units.

***

Record 12
Here is crystalline MnAu3I at its relaxed geometry from Alexandria. Energies are from PBE.

abc: 5.372 5.372 5.372
angles: 90.00 90.00 90.00
Space group Pm-3m (No. 221)
Symmetry-distinct sites (fractional):
Mn1 0.000 0.000 0.000 (multiplicity 1)
Au1 0.000 0.500 0.500 (multiplicity 3)
I1 0.500 0.500 0.500 (multiplicity 1)

Properties
Its formation energy (no corrections) is 1148 meV/atom. The calculation puts the density of states at the Fermi level at 2.0 states/eV/cell. The calculation puts the total moment at 5.3 μB/f.u. The value obtained for the distance to the lowest polymorph of the same formula is 53 kJ/mol of formula units.

***

Number 1: DFT total energy -42.2 eV/cell. Number 2: DFT total energy -40.5 eV/cell. Number 3: DFT total energy -216.6 eV/cell. Number 4: DFT total energy -162.9 eV/cell. Number 5: DFT total energy -43.2 eV/cell. Number 6: DFT total energy -73.9 eV/cell. Number 7: DFT total energy -111.9 eV/cell. Number 8: DFT total energy -14.1 eV/cell. Number 9: DFT total energy -34.3 eV/cell. Number 10: DFT total energy -28.2 eV/cell. Number 11: DFT total energy -138.7 eV/cell. Number 12: DFT total energy -14.8 eV/cell.